# 1
Crystalline Pm5Os2O12 at its relaxed geometry. Source: Alexandria, functional PBE-GGA.

```
data_Pm5Os2O12
_cell_length_a 5.7506
_cell_length_b 7.0673
_cell_length_c 7.7412
_cell_angle_alpha 106.11
_cell_angle_beta 90.00
_cell_angle_gamma 114.01
_space_group_name_H-M_alt 'P 1'
_space_group_IT_number 1
loop_
_space_group_symop_operation_xyz
'x,y,z'
loop_
_atom_site_label
_atom_site_fract_x
_atom_site_fract_y
_atom_site_fract_z
Pm1 0.3038 0.6076 0.6442
Pm2 0.6962 0.3924 0.3558
Pm3 0.3117 0.6235 0.1680
Pm4 0.0000 0.0000 0.5000
Pm5 0.6883 0.3765 0.8320
O1 0.0870 0.6755 0.9185
O2 0.5949 0.6922 0.4249
O3 0.4051 0.3078 0.5751
O4 0.4988 0.9976 0.8341
O5 0.4115 0.3245 0.0815
O6 0.5885 0.6755 0.9185
O7 0.9130 0.3245 0.0815
O8 0.9027 0.3078 0.5751
O9 0.5012 0.0024 0.1659
O10 0.0973 0.6922 0.4249
O11 0.0003 0.0005 0.1983
O12 0.9997 0.9995 0.8017
Os1 0.2182 0.0000 0.0000
Os2 0.7818 0.0000 0.0000
```

Summary:
As for the spin magnetization: 0.7 Bohr magnetons per cell. The calculation puts the formation energy (no corrections) at -2.63 eV per atom.


# 2
Crystalline Pm4OsO at its relaxed geometry. Source: Alexandria, functional PBE-GGA.

```
data_Pm4OsO
_cell_length_a 7.5426
_cell_length_b 7.5426
_cell_length_c 7.5426
_cell_angle_alpha 105.94
_cell_angle_beta 105.94
_cell_angle_gamma 116.79
_space_group_name_H-M_alt 'P 1'
_space_group_IT_number 1
loop_
_space_group_symop_operation_xyz
'x,y,z'
loop_
_atom_site_label
_atom_site_fract_x
_atom_site_fract_y
_atom_site_fract_z
Pm1 0.3189 0.5140 0.8049
Pm2 0.7297 0.0339 0.3041
Pm3 0.7297 0.4256 0.6959
Pm4 0.7090 0.5140 0.1951
Pm5 0.2640 0.5689 0.3049
Pm6 0.1756 0.9797 0.1959
Pm7 0.7839 0.9797 0.8041
Pm8 0.2640 0.9590 0.6951
Os1 0.9903 0.4903 0.5000
Os2 0.2403 0.2403 0.0000
O1 0.7723 0.7723 0.0000
O2 0.5223 0.0223 0.5000
```

Summary:
As for the spin magnetization: 0.0 Bohr magnetons per cell. The calculation puts the formation energy (no corrections) at -0.86 eV per atom.


# 3
Crystalline PmOsO4 at its relaxed geometry. Source: Alexandria, functional PBE-GGA.

```
data_PmOsO4
_cell_length_a 5.4232
_cell_length_b 5.1427
_cell_length_c 6.6357
_cell_angle_alpha 109.18
_cell_angle_beta 110.66
_cell_angle_gamma 98.29
_space_group_name_H-M_alt 'P 1'
_space_group_IT_number 1
loop_
_space_group_symop_operation_xyz
'x,y,z'
loop_
_atom_site_label
_atom_site_fract_x
_atom_site_fract_y
_atom_site_fract_z
O1 0.2534 0.5487 0.5606
O2 0.3394 0.2038 0.9137
O3 0.8071 0.0118 0.5606
O4 0.7466 0.4513 0.4394
O5 0.6606 0.7962 0.0863
O6 0.1929 0.9882 0.4394
O7 0.0743 0.7099 0.9137
O8 0.9257 0.2901 0.0863
Pm1 0.3635 0.6135 0.2271
Pm2 0.6365 0.3865 0.7729
Os1 0.9092 0.1592 0.3184
Os2 0.0908 0.8408 0.6816
```

Summary:
The relative energy among the computed polymorphs is 99 meV/atom. As for the spin magnetization: 0.9 Bohr magnetons per cell. The calculation puts the formation energy (no corrections) at -1.92 eV per atom.


# 4
Crystalline PmPrOsO6 at its relaxed geometry. Source: Alexandria, functional PBE-GGA.

```
data_PmPrOsO6
_cell_length_a 5.6610
_cell_length_b 5.6610
_cell_length_c 9.8336
_cell_angle_alpha 90.00
_cell_angle_beta 90.00
_cell_angle_gamma 120.00
_space_group_name_H-M_alt 'P 1'
_space_group_IT_number 1
loop_
_space_group_symop_operation_xyz
'x,y,z'
loop_
_atom_site_label
_atom_site_fract_x
_atom_site_fract_y
_atom_site_fract_z
O1 0.6726 0.0524 0.3623
O2 0.9476 0.6202 0.3623
O3 0.6726 0.6202 0.1377
O4 0.3274 0.3798 0.8623
O5 0.9476 0.3274 0.1377
O6 0.3798 0.0524 0.1377
O7 0.3798 0.3274 0.3623
O8 0.3274 0.9476 0.6377
O9 0.0524 0.3798 0.6377
O10 0.6202 0.9476 0.8623
O11 0.6202 0.6726 0.6377
O12 0.0524 0.6726 0.8623
Os1 0.6667 0.3333 0.2500
Os2 0.3333 0.6667 0.7500
Pm1 0.3333 0.6667 0.2500
Pm2 0.6667 0.3333 0.7500
Pr1 0.0000 0.0000 0.0000
Pr2 0.0000 0.0000 0.5000
```

Summary:
As for the spin magnetization: 4.0 Bohr magnetons per cell. The calculation puts the formation energy (no corrections) at -2.28 eV per atom.


# 5
Crystalline Pm2PrOsO8 at its relaxed geometry. Source: Alexandria, functional PBE-GGA.

```
data_Pm2PrOsO8
_cell_length_a 5.1894
_cell_length_b 5.1865
_cell_length_c 7.0262
_cell_angle_alpha 90.00
_cell_angle_beta 90.00
_cell_angle_gamma 89.56
_space_group_name_H-M_alt 'P 1'
_space_group_IT_number 1
loop_
_space_group_symop_operation_xyz
'x,y,z'
loop_
_atom_site_label
_atom_site_fract_x
_atom_site_fract_y
_atom_site_fract_z
O1 0.8195 0.1820 0.7987
O2 0.1805 0.8180 0.7987
O3 0.6859 0.6880 0.5000
O4 0.3141 0.3120 0.5000
O5 0.1805 0.8180 0.2013
O6 0.8195 0.1820 0.2013
O7 0.2546 0.2529 0.0000
O8 0.7454 0.7471 0.0000
Pm1 0.5000 0.5000 0.2500
Pm2 0.5000 0.5000 0.7500
Pr1 0.0000 0.0000 0.5000
Os1 0.0000 0.0000 0.0000
```

Summary:
As for the spin magnetization: 1.0 Bohr magnetons per cell. The calculation puts the formation energy (no corrections) at -2.42 eV per atom.


# 6
Crystalline Rb2PmOs3O12 at its relaxed geometry. Source: Alexandria, functional PBE-GGA.

```
data_Rb2PmOs3O12
_cell_length_a 7.5774
_cell_length_b 7.5774
_cell_length_c 7.5774
_cell_angle_alpha 58.16
_cell_angle_beta 58.16
_cell_angle_gamma 58.16
_space_group_name_H-M_alt 'P 1'
_space_group_IT_number 1
loop_
_space_group_symop_operation_xyz
'x,y,z'
loop_
_atom_site_label
_atom_site_fract_x
_atom_site_fract_y
_atom_site_fract_z
O1 0.0863 0.0863 0.6253
O2 0.9137 0.9137 0.3747
O3 0.0788 0.7010 0.7010
O4 0.2990 0.2990 0.9212
O5 0.2990 0.9212 0.2990
O6 0.0863 0.6253 0.0863
O7 0.7010 0.0788 0.7010
O8 0.3747 0.9137 0.9137
O9 0.9212 0.2990 0.2990
O10 0.9137 0.3747 0.9137
O11 0.6253 0.0863 0.0863
O12 0.7010 0.7010 0.0788
Os1 0.0000 0.5000 0.0000
Os2 0.0000 0.0000 0.5000
Os3 0.5000 0.0000 0.0000
Rb1 0.3800 0.3800 0.3800
Rb2 0.6200 0.6200 0.6200
Pm1 0.0000 0.0000 0.0000
```

Summary:
As for the spin magnetization: 2.1 Bohr magnetons per cell. The calculation puts the formation energy (no corrections) at -1.47 eV per atom.


# 7
Crystalline Rb3PmOs2O9 at its relaxed geometry. Source: Alexandria, functional PBE-GGA.

```
data_Rb3PmOs2O9
_cell_length_a 5.8497
_cell_length_b 5.8497
_cell_length_c 7.2741
_cell_angle_alpha 90.00
_cell_angle_beta 90.00
_cell_angle_gamma 120.00
_space_group_name_H-M_alt 'P 1'
_space_group_IT_number 1
loop_
_space_group_symop_operation_xyz
'x,y,z'
loop_
_atom_site_label
_atom_site_fract_x
_atom_site_fract_y
_atom_site_fract_z
O1 0.6367 0.8184 0.3037
O2 0.5000 0.5000 0.0000
O3 0.0000 0.5000 0.0000
O4 0.5000 0.0000 0.0000
O5 0.1816 0.3633 0.3037
O6 0.8184 0.1816 0.6963
O7 0.1816 0.8184 0.3037
O8 0.8184 0.6367 0.6963
O9 0.3633 0.1816 0.6963
Os1 0.3333 0.6667 0.1505
Os2 0.6667 0.3333 0.8495
Pm1 0.0000 0.0000 0.5000
Rb1 0.0000 0.0000 0.0000
Rb2 0.6667 0.3333 0.3354
Rb3 0.3333 0.6667 0.6646
```

Summary:
As for the spin magnetization: 0.0 Bohr magnetons per cell. The calculation puts the formation energy (no corrections) at -1.64 eV per atom.


# 8
Crystalline RbPmOsO6 at its relaxed geometry. Source: Alexandria, functional PBE-GGA.

```
data_RbPmOsO6
_cell_length_a 5.7665
_cell_length_b 5.7666
_cell_length_c 6.0737
_cell_angle_alpha 90.01
_cell_angle_beta 90.00
_cell_angle_gamma 60.00
_space_group_name_H-M_alt 'P 1'
_space_group_IT_number 1
loop_
_space_group_symop_operation_xyz
'x,y,z'
loop_
_atom_site_label
_atom_site_fract_x
_atom_site_fract_y
_atom_site_fract_z
O1 0.3558 0.0570 0.6790
O2 0.5871 0.3559 0.6790
O3 0.0569 0.5873 0.6789
O4 0.3559 0.5872 0.3210
O5 0.0570 0.3558 0.3210
O6 0.5873 0.0569 0.3210
Pm1 0.6666 0.6667 0.5000
Os1 0.3333 0.3333 0.5000
Rb1 0.0000 0.0000 0.0000
```

Summary:
As for the spin magnetization: 0.0 Bohr magnetons per cell. The calculation puts the formation energy (no corrections) at -1.74 eV per atom.


# 9
Crystalline RbPmOs2O8 at its relaxed geometry. Source: Alexandria, functional PBE-GGA.

```
data_RbPmOs2O8
_cell_length_a 5.5509
_cell_length_b 5.5509
_cell_length_c 9.5513
_cell_angle_alpha 73.11
_cell_angle_beta 73.11
_cell_angle_gamma 60.00
_space_group_name_H-M_alt 'P 1'
_space_group_IT_number 1
loop_
_space_group_symop_operation_xyz
'x,y,z'
loop_
_atom_site_label
_atom_site_fract_x
_atom_site_fract_y
_atom_site_fract_z
O1 0.3119 0.3119 0.0642
O2 0.2496 0.9026 0.3347
O3 0.0974 0.7504 0.6653
O4 0.5131 0.2496 0.3347
O5 0.6881 0.6881 0.9358
O6 0.4869 0.0974 0.6653
O7 0.9026 0.5131 0.3347
O8 0.7504 0.4869 0.6653
Rb1 0.0000 0.0000 0.0000
Os1 0.2462 0.2462 0.2613
Os2 0.7538 0.7538 0.7387
Pm1 0.5000 0.5000 0.5000
```

Summary:
As for the spin magnetization: 4.0 Bohr magnetons per cell. The calculation puts the formation energy (no corrections) at -1.49 eV per atom.